(1)
Density functional theory data (PBEsol) for an optimized crystal structure of TaCdRu2.

Output
The total energy comes out at -33.304 eV/f.u. As for the energy of formation: 0.20 eV/atom. As for the crystal system: orthorhombic.

Unit cell a=3.0929 b=4.7481 c=5.1779 alpha=117.29 beta=107.38 gamma=90.00
With the nearest neighbours (Å) after each atom.
Sites, in units of the cell vectors:
Cd 0.0000 0.5000 0.0000  8 Ru 2.79-3.11, 4 Ta 2.83, 2 Cd 3.09
Ru 0.7680 0.7680 0.5359  2 Ta 2.54, 2 Cd 2.79
Ru 0.2320 0.2320 0.4641  2 Ta 2.54, 2 Cd 2.79
Ta 0.5000 0.0000 0.0000  4 Ru 2.54, 4 Cd 2.83

=====

(2)
Density functional theory data (PBEsol) for an optimized crystal structure of PtSe2F.

Output
The total energy comes out at -16.372 eV/f.u. The offset from the most stable computed form is 647 meV/atom. The value obtained for the uncorrected formation energy is 5.3 kJ per mole of atoms. As for the crystal system: trigonal.

Unit cell a=4.3926 b=4.3926 c=5.7942 alpha=67.72 beta=67.72 gamma=60.00
With the nearest neighbours (Å) after each atom.
Sites, in units of the cell vectors:
Se 0.8525 0.8525 0.4424  1 Pt 2.30, 3 F 2.55
Se 0.1475 0.1475 0.5576  1 Pt 2.30, 3 F 2.55
Pt 0.0000 0.0000 0.0000  2 Se 2.30
F 0.5000 0.5000 0.5000  6 Se 2.55

=====

(3)
Density functional theory data (PBEsol) for an optimized crystal structure of MoP4H36C12Cl2.

Output
The total energy comes out at -285.495 eV/f.u. As for the crystal system: tetragonal.

Unit cell a=9.1360 b=9.1360 c=9.1360 alpha=95.96 beta=116.62 gamma=116.62
With the nearest neighbours (Å) after each atom.
Sites, in units of the cell vectors:
Mo 0.0000 0.0000 0.0000  2 Cl 2.43, 4 P 2.46
P 0.6426 0.7883 0.7883  3 C 1.83
P 0.3574 0.1458 0.1458  3 C 1.83
P 0.0000 0.8542 0.2117  3 C 1.83
P 0.0000 0.2117 0.8542  3 C 1.83
H 0.3895 0.4680 0.6468  1 C 1.10
H 0.6105 0.2573 0.0785  1 C 1.10
H 0.8212 0.7427 0.3532  1 C 1.10
H 0.1788 0.5320 0.9215  1 C 1.10
H 0.1788 0.9215 0.5320  1 C 1.10
H 0.8212 0.3532 0.7427  1 C 1.10
H 0.3895 0.6468 0.4680  1 C 1.10
H 0.6105 0.0785 0.2573  1 C 1.10
H 0.6345 0.5208 0.7307  1 C 1.10
H 0.3655 0.0963 0.8863  1 C 1.10
H 0.7900 0.9037 0.2693  1 C 1.10
H 0.2100 0.4792 0.1137  1 C 1.10
H 0.2100 0.1137 0.4792  1 C 1.10
H 0.7900 0.2693 0.9037  1 C 1.10
H 0.6345 0.7307 0.5208  1 C 1.10
H 0.3655 0.8863 0.0963  1 C 1.10
H 0.5609 0.5354 0.8797  1 C 1.10
H 0.4391 0.3188 0.9746  1 C 1.10
H 0.6558 0.6812 0.1203  1 C 1.10
H 0.3442 0.4646 0.0254  1 C 1.10
H 0.3442 0.0254 0.4646  1 C 1.10
H 0.6558 0.1203 0.6812  1 C 1.10
H 0.5609 0.8797 0.5354  1 C 1.10
H 0.4391 0.9746 0.3188  1 C 1.10
H 0.5000 0.8186 0.9493  1 C 1.10
H 0.5000 0.4493 0.3185  1 C 1.10
H 0.8692 0.5507 0.0507  1 C 1.10
H 0.1308 0.1814 0.6815  1 C 1.10
H 0.1308 0.6815 0.1814  1 C 1.10
H 0.8692 0.0507 0.5507  1 C 1.10
H 0.5000 0.9493 0.8186  1 C 1.10
H 0.5000 0.3185 0.4493  1 C 1.10
H 0.3173 0.7146 0.7146  1 C 1.10
H 0.6827 0.3973 0.3973  1 C 1.10
H 0.0000 0.6027 0.2854  1 C 1.10
H 0.0000 0.2854 0.6027  1 C 1.10
C 0.5457 0.5553 0.7582  3 H 1.10
C 0.4543 0.2125 0.0096  3 H 1.10
C 0.7971 0.7875 0.2418  3 H 1.10
C 0.2029 0.4447 0.9904  3 H 1.10
C 0.2029 0.9904 0.4447  3 H 1.10
C 0.7971 0.2418 0.7875  3 H 1.10
C 0.5457 0.7582 0.5553  3 H 1.10
C 0.4543 0.0096 0.2125  3 H 1.10
C 0.4724 0.8191 0.8191  3 H 1.10
C 0.5276 0.3467 0.3467  3 H 1.10
C 0.0000 0.6533 0.1809  3 H 1.10
C 0.0000 0.1809 0.6533  3 H 1.10
Cl 0.0000 0.8014 0.8014  1 Mo 2.43
Cl 0.0000 0.1986 0.1986  1 Mo 2.43

=====

(4)
Density functional theory data (PBEsol) for an optimized crystal structure of Zn3Cu2As4O16.

Output
The total energy comes out at -143.928 eV/f.u. The value obtained for the uncorrected formation energy is -100.7 kJ per mole of atoms. As for the crystal system: triclinic.

Unit cell a=5.3231 b=6.9062 c=9.2819 alpha=81.20 beta=80.15 gamma=69.36
With the nearest neighbours (Å) after each atom.
Sites, in units of the cell vectors:
Zn 0.6018 0.8426 0.1034  4 O 1.93-2.14
Zn 0.1361 0.8011 0.6211  4 O 1.91-2.08
Zn 0.8580 0.1790 0.4103  6 O 1.97-2.20
Cu 0.2254 0.4972 0.2440  4 O 1.81-1.86
Cu 0.7494 0.4922 0.7566  4 O 1.80-1.91
As 0.7278 0.7203 0.4336  4 O 1.67-1.75
As 0.2210 0.7155 0.9355  4 O 1.68-1.77
As 0.7667 0.2804 0.0752  4 O 1.67-1.79
As 0.3032 0.2718 0.5634  4 O 1.68-1.77
O 0.5295 0.5233 0.1299  1 As 1.79, 1 Cu 1.83
O 0.0761 0.4903 0.6431  1 As 1.74, 1 Cu 1.87
O 0.9258 0.4803 0.3720  1 As 1.74, 1 Cu 1.85
O 0.4324 0.4861 0.8592  1 As 1.76, 1 Cu 1.80
O 0.9927 0.1815 0.1985  1 As 1.70
O 0.6113 0.1795 0.6200  1 As 1.68
O 0.4991 0.8487 0.3186  1 As 1.67
O 0.9784 0.8258 0.8218  1 As 1.70
O 0.5864 0.1305 0.0619  1 As 1.67
O 0.1462 0.0997 0.5513  1 As 1.70
O 0.0203 0.6579 0.0979  1 As 1.77, 1 Cu 1.86
O 0.5521 0.6617 0.6026  1 As 1.75, 1 Cu 1.91
O 0.4354 0.3538 0.3855  1 As 1.77, 1 Cu 1.81
O 0.9353 0.3566 0.9099  1 As 1.75, 1 Cu 1.82
O 0.9387 0.8534 0.4485  1 As 1.72
O 0.3812 0.8816 0.9496  1 As 1.68

=====

(5)
Density functional theory data (PBEsol) for an optimized crystal structure of ZnNiP2.

Output
The total energy comes out at -19.801 eV/f.u. As for the energy of formation: -0.12 eV/atom. As for the crystal system: monoclinic.

Unit cell a=3.2800 b=3.5566 c=5.7091 alpha=106.31 beta=90.00 gamma=117.46
With the nearest neighbours (Å) after each atom.
Sites, in units of the cell vectors:
Ni 0.0000 0.0000 0.5000  6 P 2.26-2.28
P 0.7407 0.4813 0.6970  3 Ni 2.26-2.28
P 0.2593 0.5187 0.3030  3 Ni 2.26-2.28
Zn 0.5000 0.0000 0.0000  6 P 2.56-2.64

=====

(6)
Density functional theory data (PBEsol) for an optimized crystal structure of KBa2Bi2.

Output
The total energy comes out at -17.739 eV/f.u. The offset from the most stable computed form is 0 meV/atom. As for the energy of formation: -0.75 eV/atom. As for the crystal system: tetragonal.

Unit cell a=4.0688 b=10.1182 c=10.1182 alpha=90.00 beta=90.00 gamma=90.00
With the nearest neighbours (Å) after each atom.
Sites, in units of the cell vectors:
K 0.0000 0.0000 0.0000  4 Bi 3.77, 2 K 4.07
K 0.0000 0.5000 0.5000  4 Bi 3.77, 2 K 4.07
Bi 0.0000 0.3342 0.8342  6 Ba 3.53-3.65, 2 K 3.77
Bi 0.0000 0.8342 0.6658  6 Ba 3.53-3.65, 2 K 3.77
Bi 0.0000 0.6658 0.1658  6 Ba 3.53-3.65, 2 K 3.77
Bi 0.0000 0.1658 0.3342  6 Ba 3.53-3.65, 2 K 3.77
Ba 0.5000 0.1323 0.6323  6 Bi 3.53-3.65, 1 Ba 3.79
Ba 0.5000 0.6323 0.8677  6 Bi 3.53-3.65, 1 Ba 3.79
Ba 0.5000 0.8677 0.3677  6 Bi 3.53-3.65, 1 Ba 3.79
Ba 0.5000 0.3677 0.1323  6 Bi 3.53-3.65, 1 Ba 3.79

=====

(7)
Density functional theory data (PBEsol) for an optimized crystal structure of Li2AgIr.

Output
The total energy comes out at -15.480 eV/f.u. As for the energy of formation: 0.40 eV/atom. As for the crystal system: tetragonal.

Unit cell a=5.2708 b=5.3546 c=5.3546 alpha=75.98 beta=60.52 gamma=60.52
With the nearest neighbours (Å) after each atom.
Sites, in units of the cell vectors:
Ir 0.0000 0.0000 0.0000  4 Li 2.42, 2 Ag 2.64
Ir 0.7500 0.5000 0.5000  4 Li 2.42, 2 Ag 2.64
Ag 0.5000 0.0000 0.0000  4 Li 2.42, 2 Ir 2.64
Ag 0.2500 0.5000 0.5000  4 Li 2.42, 2 Ir 2.64
Li 0.8750 0.0005 0.4995  2 Ir 2.42, 2 Ag 2.42, 2 Li 2.64
Li 0.3750 0.9995 0.5005  2 Ir 2.42, 2 Ag 2.42, 2 Li 2.64
Li 0.6255 0.4995 0.9995  2 Ir 2.42, 2 Ag 2.42, 2 Li 2.64
Li 0.1245 0.5005 0.0005  2 Ir 2.42, 2 Ag 2.42, 2 Li 2.64

=====

(8)
Density functional theory data (PBEsol) for an optimized crystal structure of RuRh2W.

Output
The total energy comes out at -40.736 eV/f.u. The offset from the most stable computed form is 76 meV/atom. As for the energy of formation: -0.12 eV/atom. As for the crystal system: tetragonal.

Unit cell a=3.8498 b=3.8498 c=4.6356 alpha=114.53 beta=114.53 gamma=90.00
With the nearest neighbours (Å) after each atom.
Sites, in units of the cell vectors:
Ru 0.0000 0.0000 0.0000  4 W 2.69, 8 Rh 2.69-2.72
Rh 0.5000 0.5000 0.0000  4 W 2.69, 4 Rh 2.69, 4 Ru 2.72
Rh 0.2500 0.7500 0.5000  4 Ru 2.69, 4 Rh 2.69, 4 W 2.72
W 0.7500 0.2500 0.5000  4 Ru 2.69, 8 Rh 2.69-2.72

=====

(9)
Density functional theory data (PBEsol) for an optimized crystal structure of CdAuCl2.

Output
The total energy comes out at -10.656 eV/f.u. The offset from the most stable computed form is 0 meV/atom. The value obtained for the uncorrected formation energy is -36.6 kJ per mole of atoms. As for the crystal system: orthorhombic.

Unit cell a=3.4645 b=5.3231 c=5.3191 alpha=120.31 beta=90.00 gamma=90.00
With the nearest neighbours (Å) after each atom.
Sites, in units of the cell vectors:
Cl 0.0000 0.0316 0.9688  2 Au 2.67, 2 Cd 2.75
Cl 0.5000 0.7133 0.2867  2 Au 2.68, 2 Cd 2.69
Au 0.0000 0.4926 0.5079  4 Cl 2.67-2.68, 2 Cd 2.74
Cd 0.5000 0.2626 0.7366  4 Cl 2.69-2.75, 2 Au 2.74